# 1
A geometry-optimized TlReOs3 structure. Source: the Alexandria database, functional PBE.

POSCAR file:
```
TlReOs3
1.0
4.771 0.000 0.000
0.000 4.771 0.000
0.000 0.000 4.771
Tl Re Os
1 1 3
Cartesian
0.000 0.000 0.000
2.386 2.386 2.386
0.000 0.000 2.386
0.000 2.386 0.000
2.386 0.000 0.000
```

Computed properties:
E above lowest polymorph ... 1669 meV/atom

***

# 2
A geometry-optimized TlReOs2 structure. Source: the Alexandria database, functional PBE.

POSCAR file:
```
TlReOs2
1.0
4.661 0.000 0.000
0.000 4.661 0.000
0.000 0.000 3.014
Tl Re Os
1 1 2
Cartesian
0.000 0.000 0.000
2.331 2.331 0.000
0.000 2.331 1.507
2.331 0.000 1.507
```

Computed properties:
E above lowest polymorph ... 525 meV/atom

***

# 3
A geometry-optimized TlReOs2 structure. Source: the Alexandria database, functional PBE.

POSCAR file:
```
TlReOs2
1.0
2.936 0.000 0.000
0.000 4.675 0.000
0.000 0.000 4.777
Tl Re Os
1 1 2
Cartesian
0.000 0.000 0.000
1.468 0.000 2.388
0.000 2.337 2.388
1.468 2.337 0.000
```

Computed properties:
E above lowest polymorph ... 589 meV/atom

***

# 4
A geometry-optimized TlReOs2 structure. Source: the Alexandria database, functional PBE.

POSCAR file:
```
TlReOs2
1.0
4.104 0.000 0.000
0.000 4.104 0.000
0.000 0.000 3.879
Tl Re Os
1 1 2
Cartesian
0.000 0.000 0.000
2.052 2.052 0.000
0.000 2.052 1.939
2.052 0.000 1.939
```

Computed properties:
E above lowest polymorph ... 589 meV/atom

***

# 5
A geometry-optimized TlReOs2 structure. Source: the Alexandria database, functional PBE.

POSCAR file:
```
TlReOs2
1.0
2.888 0.000 0.000
0.000 2.888 0.000
0.000 0.000 7.894
Tl Re Os
1 1 2
Cartesian
0.000 0.000 0.000
0.000 0.000 3.947
1.444 1.444 2.212
1.444 1.444 5.682
```

Computed properties:
E above lowest polymorph ... 0 meV/atom

***

# 6
A geometry-optimized TlReOs2 structure. Source: the Alexandria database, functional PBE.

POSCAR file:
```
TlReOs2
1.0
-1.407 2.380 5.068
1.407 -2.380 5.068
1.407 2.380 -5.068
Tl Re Os
1 1 2
Cartesian
0.000 0.000 0.000
0.000 0.000 5.068
1.407 0.000 2.827
0.000 2.380 2.241
```

Computed properties:
E above lowest polymorph ... 435 meV/atom

***

# 7
A geometry-optimized TlReOs2 structure. Source: the Alexandria database, functional PBE.

POSCAR file:
```
TlReOs2
1.0
2.845 0.000 0.000
0.000 2.845 0.000
0.000 0.000 8.118
Tl Re Os
1 1 2
Cartesian
0.000 0.000 0.000
1.422 1.422 5.837
0.000 0.000 4.031
1.422 1.422 2.239
```

Computed properties:
E above lowest polymorph ... 144 meV/atom

***

# 8
A geometry-optimized TlReOs4 structure. Source: the Alexandria database, functional PBE.

POSCAR file:
```
TlReOs4
1.0
0.000 3.670 3.670
3.670 0.000 3.670
3.670 3.670 0.000
Tl Re Os
1 1 4
Cartesian
0.000 0.000 0.000
1.835 1.835 1.835
4.585 2.756 2.756
2.756 4.585 2.756
2.756 2.756 4.585
4.585 4.585 4.585
```

***

# 9
A geometry-optimized TlReOs2 structure. Source: the Alexandria database, functional PBE.

POSCAR file:
```
TlReOs2
1.0
1.417 -2.452 0.000
1.417 2.452 0.000
0.000 0.000 9.777
Tl Re Os
1 1 2
Cartesian
0.000 0.000 0.000
1.417 0.000 7.055
0.000 0.000 4.862
1.417 0.000 2.632
```

Computed properties:
E above lowest polymorph ... 430 meV/atom

***

# 10
A geometry-optimized TlReOs2 structure. Source: the Alexandria database, functional PBE.

POSCAR file:
```
TlReOs2
1.0
-1.961 1.961 4.196
1.961 -1.961 4.196
1.961 1.961 -4.196
Tl Re Os
1 1 2
Cartesian
0.000 0.000 0.000
0.000 1.961 2.098
1.961 0.000 2.098
0.000 0.000 4.196
```

Computed properties:
E above lowest polymorph ... 422 meV/atom

***

# 11
A geometry-optimized TlReOs2 structure. Source: the Alexandria database, functional PBE.

POSCAR file:
```
TlReOs2
1.0
1.427 0.824 9.367
-1.427 0.824 9.367
0.000 -1.648 9.367
Tl Re Os
1 1 2
Cartesian
0.000 0.000 0.000
0.000 0.000 14.051
0.000 0.000 6.796
0.000 0.000 21.306
```

Computed properties:
E above lowest polymorph ... 48 meV/atom

***

# 12
A geometry-optimized Zr2TlReOs structure. Source: the Alexandria database, functional PBE.

POSCAR file:
```
Zr2TlReOs
1.0
4.979 0.000 0.000
0.000 4.979 0.000
0.000 0.000 5.109
Zr Tl Re Os
2 1 1 1
Cartesian
0.000 2.490 0.000
2.490 0.000 0.000
0.000 0.000 2.555
0.000 0.000 0.000
2.490 2.490 2.555
```

***

# 13
A geometry-optimized TmReOs structure. Source: the Alexandria database, functional PBE.

POSCAR file:
```
TmReOs
1.0
8.614 0.000 0.000
0.000 2.664 4.722
0.000 -2.664 4.722
Tm Re Os
4 4 4
Cartesian
1.573 0.000 0.000
2.697 0.000 6.314
5.917 0.000 6.314
7.041 0.000 0.000
2.130 0.000 3.184
4.307 -1.364 3.953
4.307 1.364 3.953
6.484 0.000 3.184
0.000 0.000 4.771
0.000 -1.282 7.038
0.000 1.282 7.038
4.307 0.000 1.493
```

***

# 14
A geometry-optimized Tm2ReOs3 structure. Source: the Alexandria database, functional PBE.

POSCAR file:
```
Tm2ReOs3
1.0
5.409 0.000 0.000
-2.705 4.685 0.000
0.000 0.000 8.481
Tm Re Os
4 2 6
Cartesian
0.000 3.123 0.554
0.000 3.123 3.686
2.705 1.562 4.794
2.705 1.562 7.927
0.000 0.000 0.000
0.000 0.000 4.240
0.000 1.625 6.361
-1.297 3.872 6.361
1.407 0.812 2.120
1.297 3.872 6.361
4.002 0.812 2.120
2.705 3.060 2.120
```

***

# 15
A geometry-optimized UReOs structure. Source: the Alexandria database, functional PBE.

POSCAR file:
```
UReOs
1.0
5.557 0.000 0.000
0.000 4.344 0.000
0.000 0.000 4.841
U Re Os
2 2 2
Cartesian
1.389 0.000 1.103
4.168 0.000 3.737
1.389 2.172 2.497
4.168 2.172 2.343
0.000 2.172 0.000
2.778 2.172 0.000
```

Computed properties:
E above lowest polymorph ... 133 meV/atom

***

# 16
A geometry-optimized U6ReOs structure. Source: the Alexandria database, functional PBE.

POSCAR file:
```
U6ReOs
1.0
3.482 -3.139 0.000
3.482 3.139 0.000
-2.884 0.000 7.871
U Re Os
6 1 1
Cartesian
-0.662 1.357 6.241
-0.460 0.000 3.055
-0.662 -1.357 6.241
4.742 1.357 1.630
4.539 0.000 4.817
4.742 -1.357 1.630
2.040 0.000 3.936
0.000 0.000 0.000
```

***

# 17
A geometry-optimized UReOs structure. Source: the Alexandria database, functional PBE.

POSCAR file:
```
UReOs
1.0
2.896 0.000 0.000
-0.934 5.402 0.000
-0.094 -1.670 6.607
U Re Os
2 2 2
Cartesian
-0.446 2.222 1.281
2.314 1.510 5.326
0.733 0.273 3.076
1.135 3.459 3.532
0.668 -1.102 5.610
1.200 4.834 0.997
```

Computed properties:
E above lowest polymorph ... 34 meV/atom

***

# 18
A geometry-optimized U2Re3Os structure. Source: the Alexandria database, functional PBE.

POSCAR file:
```
U2Re3Os
1.0
5.194 0.000 0.000
-2.597 4.498 0.000
0.000 0.000 9.344
U Re Os
4 6 2
Cartesian
0.000 2.999 0.547
0.000 2.999 4.125
2.597 1.499 5.219
2.597 1.499 8.797
0.000 1.522 7.008
-1.278 3.737 7.008
1.318 0.761 2.336
1.278 3.737 7.008
3.875 0.761 2.336
2.597 2.975 2.336
0.000 0.000 0.000
0.000 0.000 4.672
```

***

# 19
A geometry-optimized U2ReOs structure. Source: the Alexandria database, functional PBE.

POSCAR file:
```
U2ReOs
1.0
4.060 -1.569 0.000
4.060 1.569 0.000
-0.008 0.000 6.235
U Re Os
2 1 1
Cartesian
1.804 0.000 1.555
6.309 0.000 4.680
4.060 0.000 0.000
4.056 0.000 3.118
```

***

# 20
A geometry-optimized U4ReOs structure. Source: the Alexandria database, functional PBE.

POSCAR file:
```
U4ReOs
1.0
3.682 -4.062 0.000
3.682 4.062 0.000
-3.012 0.000 3.631
U Re Os
4 1 1
Cartesian
1.087 1.354 0.908
1.087 -1.354 0.908
3.264 1.354 2.723
3.264 -1.354 2.723
-1.506 0.000 1.815
3.682 0.000 0.000
```

***

Taking the records one at a time from the top gives energy of formation values of 3.7995, 1.0665, 1.1314, 1.1307, 0.5420, 0.9769, 0.6859, 1.0492, 0.9716, 0.9643, 0.5896, 1.3842, -0.3329, -0.3536, 0.2062, 0.2505, 0.1075, -0.0232, 0.2694, -0.0371 eV/atom.
Taking the records one at a time from the top gives final energy values of -29.5, -33.0, -32.7, -32.8, -35.1, -33.4, -34.5, -53.4, -33.4, -33.4, -34.9, -36.2, -116.6, -114.4, -68.7, -89.4, -69.3, -142.6, -45.2, -69.1 eV/cell.